Compound: ScTlRu
Source: Alexandria via LeMat-Bulk
Functional: GGA-PBEsol
Structure: relaxed

Its density of states at the Fermi level is 0.549 states/eV/atom. The raw total energy is -19.474 eV for the cell shown. The calculation puts the energy of formation from the pure elements at -0.022 eV/atom.

It has space group P3m1 (No. 156), with a = 4.5234 Å, b = 4.5234 Å, c = 3.0912 Å, α = 90.00°, β = 90.00° and γ = 120.00°. The distinct sites, in fractional coordinates, are Sc at (0.0000, 0.0000, 0.0000), Tl at (0.6667, 0.3333, 0.4294) and Ru at (0.3333, 0.6667, 0.7545).

---

Compound: HgRu2Pt
Source: Alexandria via LeMat-Bulk
Functional: GGA-PBEsol
Structure: relaxed

Its density of states at the Fermi level is 1.116 states/eV/atom. The raw total energy is -52.254 eV for the cell shown. The calculation puts the energy of formation from the pure elements at 0.437 eV/atom.

It has space group Imm2 (No. 44), with a = 2.752 Å, b = 4.718 Å, c = 9.570 Å, α = 90.00°, β = 90.00° and γ = 90.00°. The distinct sites, in fractional coordinates, are Hg at (0.000, 0.000, 0.000), Ru at (0.000, 0.000, 0.518), Ru at (0.000, 0.500, 0.235) and Pt at (0.000, 0.500, 0.769).

---

Compound: LaBr2
Source: Alexandria via LeMat-Bulk
Functional: GGA-PBEsol
Structure: relaxed

The raw total energy is -28.819 eV for the cell shown. For the formation energy from raw total energies, the calculation gives -1774 meV per atom.

It has space group P6_3/mmc (No. 194), with a = 4.0592 Å, b = 4.0592 Å, c = 14.1832 Å, α = 90.00°, β = 90.00° and γ = 120.00°. The distinct sites, in fractional coordinates, are La at (0.0000, 0.0000, 0.2500) and Br at (0.3333, 0.6667, 0.1161).

---

Compound: ZnSiSn2Au
Source: Alexandria via LeMat-Bulk
Functional: GGA-PBEsol
Structure: relaxed

Its density of states at the Fermi level is 0.474 states/eV/atom. The raw total energy is -16.673 eV for the cell shown. For the formation energy from raw total energies, the calculation gives 620 meV per atom.

It has space group P4/mmm (No. 123), with a = 5.463 Å, b = 5.463 Å, c = 4.572 Å, α = 90.00°, β = 90.00° and γ = 90.00°. The distinct sites, in fractional coordinates, are Zn at (0.000, 0.000, 0.000), Si at (0.500, 0.500, 0.000), Sn at (0.000, 0.500, 0.500) and Au at (0.500, 0.500, 0.500).

---

Look up the raw total energy of the third one.
-28.819 eV for the cell shown

---

Which formula does entry 3 have?
LaBr2